# 1
GGA-PBE K3RbS, optimized geometry; space-group type = Pm-3m; DOS(E_F) = 0.0 states/eV/f.u.; magnetic moment = 0.000 μB/f.u.; energy relative to the elements, uncorrected = 421 meV/atom
1.0
7.0300 0.0000 0.0000
0.0000 7.0300 0.0000
0.0000 0.0000 7.0300
K Rb S
3 1 1
Direct
0.0000 0.0000 0.5000
0.0000 0.5000 0.0000
0.5000 0.0000 0.0000
0.0000 0.0000 0.0000
0.5000 0.5000 0.5000

# 2
GGA-PBE K6Rb3S, optimized geometry; space-group type = Cmc2_1; DOS(E_F) = 6.1 states/eV/f.u.; magnetic moment = 0.000 μB/f.u.; energy relative to the elements, uncorrected = -280 meV/atom
1.0
7.1606 -12.3708 0.0000
7.1606 12.3708 0.0000
0.0000 0.0000 7.9514
K Rb S
12 6 2
Direct
0.0346 0.2668 0.4460
0.0635 0.6266 0.5020
0.0634 0.9366 0.5000
0.2668 0.0346 0.9460
0.2669 0.7331 0.9470
0.3734 0.9365 0.5020
0.6266 0.0635 0.0020
0.7331 0.2669 0.4470
0.7332 0.9654 0.4460
0.9366 0.0634 0.0000
0.9365 0.3734 0.0020
0.9654 0.7332 0.9460
0.2715 0.3858 0.9157
0.3854 0.6146 0.4161
0.3858 0.2715 0.4157
0.6142 0.7285 0.9157
0.6146 0.3854 0.9161
0.7285 0.6142 0.4157
0.1665 0.8335 0.7189
0.8335 0.1665 0.2189

# 3
GGA-PBE KRbS4, optimized geometry; space-group type = C2/c; magnetic moment = 0.000 μB/f.u.; energy relative to the elements, uncorrected = -604 meV/atom
1.0
6.1562 -5.1930 0.0000
6.1562 5.1930 0.0000
-4.2482 0.0000 6.4418
K Rb S
2 2 8
Direct
0.1771 0.8229 0.7500
0.8229 0.1771 0.2500
0.3681 0.6319 0.2500
0.6319 0.3681 0.7500
0.0255 0.4564 0.7118
0.1759 0.3972 0.4192
0.3972 0.1759 0.9192
0.4564 0.0255 0.2118
0.5436 0.9745 0.7882
0.6028 0.8241 0.0808
0.8241 0.6028 0.5808
0.9745 0.5436 0.2882

What did the first record say?
GGA-PBE K3RbS, optimized geometry; space-group type = Pm-3m; DOS(E_F) = 0.0 states/eV/f.u.; magnetic moment = 0.000 μB/f.u.; energy relative to the elements, uncorrected = 421 meV/atom
1.0
7.0300 0.0000 0.0000
0.0000 7.0300 0.0000
0.0000 0.0000 7.0300
K Rb S
3 1 1
Direct
0.0000 0.0000 0.5000
0.0000 0.5000 0.0000
0.5000 0.0000 0.0000
0.0000 0.0000 0.0000
0.5000 0.5000 0.5000

- What is the magnetic moment in the second record?
  0.000 μB/f.u.

- What is the magnetic moment in the second record?
  0.000 μB/f.u.

- What is the magnetic moment in the third record?
  0.000 μB/f.u.